! ZrCr2Pb (GGA-PBE, relaxed); values from VASP
! Calculated total energy: -0.27387 hartree per atom
! V: 19.245 A^3/atom
! Space-group type: P2/m (10)
&SYSTEM
  ibrav = 0, nat = 4, ntyp = 3
/
ATOMIC_SPECIES
Cr 52.00 Cr.upf
Pb 207.20 Pb.upf
Zr 91.22 Zr.upf
CELL_PARAMETERS angstrom
4.5696 0.0000 0.0000
0.0000 3.1145 -0.0118
0.0000 0.3953 5.4075
ATOMIC_POSITIONS crystal
Cr 0.0000 0.1186 0.9212
Cr 0.0000 0.3814 0.5788
Pb 0.5000 0.2500 0.2500
Zr 0.5000 0.7500 0.7500


! Pr2MgCu4Sn3 (GGA-PBE, relaxed); values from VASP
! Calculated total energy: -0.16067 hartree per atom
! V: 21.193 A^3/atom
! Space-group type: P-4m2 (115)
&SYSTEM
  ibrav = 0, nat = 10, ntyp = 4
/
ATOMIC_SPECIES
Pr 140.91 Pr.upf
Mg 24.30 Mg.upf
Cu 63.55 Cu.upf
Sn 118.71 Sn.upf
CELL_PARAMETERS angstrom
4.4155 0.0000 0.0000
0.0000 4.4155 0.0000
0.0000 0.0000 10.8704
ATOMIC_POSITIONS crystal
Pr 0.5000 0.0000 0.2363
Pr 0.0000 0.5000 0.7637
Mg 0.5000 0.5000 0.5000
Cu 0.5000 0.5000 0.0000
Cu 0.0000 0.0000 0.0000
Cu 0.5000 0.0000 0.6357
Cu 0.0000 0.5000 0.3643
Sn 0.0000 0.0000 0.5000
Sn 0.5000 0.0000 0.8691
Sn 0.0000 0.5000 0.1309


! NaLaEuHg (GGA-PBE, relaxed); values from VASP
! Calculated total energy: -0.15955 hartree per atom
! V: 31.695 A^3/atom
! Space-group type: F-43m (216)
&SYSTEM
  ibrav = 0, nat = 4, ntyp = 4
/
ATOMIC_SPECIES
Eu 151.96 Eu.upf
Na 22.99 Na.upf
Hg 200.59 Hg.upf
La 138.91 La.upf
CELL_PARAMETERS angstrom
-4.8054 -0.3179 2.9331
-3.3785 -4.4747 -0.5998
-0.5016 -3.7363 4.1934
ATOMIC_POSITIONS crystal
Eu 0.5000 0.5000 0.5000
Na 0.2500 0.2500 0.2500
Hg 0.7500 0.7500 0.7500
La 0.0000 0.0000 0.0000


! Cs2AlBiS4 (GGA-PBE, relaxed); values from VASP
! Calculated total energy: -0.15287 hartree per atom
! V: 37.943 A^3/atom
! ΔE_f (raw): -0.93 eV/atom
! Space-group type: Fddd (70)
&SYSTEM
  ibrav = 0, nat = 16, ntyp = 4
/
ATOMIC_SPECIES
Cs 132.91 Cs.upf
Al 26.98 Al.upf
Bi 208.98 Bi.upf
S 32.06 S.upf
CELL_PARAMETERS angstrom
-0.4625 4.3269 -4.8298
2.4885 -2.7627 -7.0885
-12.0477 -1.9435 -4.9625
ATOMIC_POSITIONS crystal
Cs 0.1794 0.0000 0.6411
Cs 0.8206 0.0000 0.3589
Cs 0.5706 0.5000 0.8589
Cs 0.9294 0.5000 0.1411
Al 0.2500 0.5000 0.5000
Al 0.5000 0.0000 0.0000
Bi 0.7500 0.5000 0.5000
Bi 0.0000 0.0000 0.0000
S 0.3403 0.8134 0.1004
S 0.2542 0.1866 0.8996
S 0.8462 0.8134 0.8996
S 0.5593 0.1866 0.1004
S 0.4097 0.6866 0.3996
S 0.4958 0.3134 0.6004
S 0.9038 0.6866 0.6004
S 0.1907 0.3134 0.3996


! BiTe3Pb2 (GGA-PBE, relaxed); values from VASP
! Calculated total energy: -0.13681 hartree per atom
! Energy relative to the lowest polymorph listed for this composition: 0.000 eV per atom
! V: 34.983 A^3/atom
! ΔE_f (raw): -0.27 eV/atom
! Space-group type: Immm (71)
&SYSTEM
  ibrav = 0, nat = 6, ntyp = 3
/
ATOMIC_SPECIES
Bi 208.98 Bi.upf
Te 127.60 Te.upf
Pb 207.20 Pb.upf
CELL_PARAMETERS angstrom
4.7198 0.0000 0.0000
0.0000 6.6378 0.0000
-2.3599 -3.3189 6.6997
ATOMIC_POSITIONS crystal
Bi 0.5000 0.5000 0.5000
Te 0.8400 0.3400 0.1801
Te 0.1600 0.6600 0.8199
Te 0.5000 0.0000 0.5000
Pb 0.8347 0.8347 0.1694
Pb 0.1653 0.1653 0.8306


! Mg2PtPbN (GGA-PBE, relaxed); values from VASP
! Calculated total energy: -0.16304 hartree per atom
! V: 17.015 A^3/atom
! ΔE_f (raw): -0.18 eV/atom
! Space-group type: P4/mmm (123)
&SYSTEM
  ibrav = 0, nat = 5, ntyp = 4
/
ATOMIC_SPECIES
Pb 207.20 Pb.upf
Mg 24.30 Mg.upf
Pt 195.08 Pt.upf
N 14.01 N.upf
CELL_PARAMETERS angstrom
-1.0463 -2.9474 -2.8433
4.0786 0.7955 -2.3255
1.9143 -2.9463 2.3497
ATOMIC_POSITIONS crystal
Pb 0.5000 0.5000 0.5000
Mg 0.0000 0.0000 0.5000
Mg 0.5000 0.0000 0.0000
Pt 0.0000 0.5000 0.0000
N 0.0000 0.0000 0.0000


! Pr2YSe2S2 (GGA-PBE, relaxed); values from VASP
! Calculated total energy: -0.22464 hartree per atom
! V: 27.819 A^3/atom
! ΔE_f (raw): -1.65 eV/atom
! Space-group type: I4/mmm (139)
&SYSTEM
  ibrav = 0, nat = 7, ntyp = 4
/
ATOMIC_SPECIES
Pr 140.91 Pr.upf
Y 88.91 Y.upf
Se 78.96 Se.upf
S 32.06 S.upf
CELL_PARAMETERS angstrom
5.0782 0.0000 0.0000
0.0000 5.0782 0.0000
-2.5391 -2.5391 7.5512
ATOMIC_POSITIONS crystal
Pr 0.3757 0.3757 0.7514
Pr 0.6243 0.6243 0.2486
Y 0.0000 0.0000 0.0000
Se 0.1852 0.1852 0.3704
Se 0.8148 0.8148 0.6296
S 0.0000 0.5000 0.0000
S 0.5000 0.0000 0.0000


! PmSmYHo (GGA-PBE, relaxed); values from VASP
! Calculated total energy: -0.18388 hartree per atom
! Energy relative to the lowest polymorph listed for this composition: 0.005 eV per atom
! V: 33.021 A^3/atom
! Space-group type: Cm (8)
&SYSTEM
  ibrav = 0, nat = 4, ntyp = 4
/
ATOMIC_SPECIES
Pm 145.00 Pm.upf
Sm 150.36 Sm.upf
Y 88.91 Y.upf
Ho 164.93 Ho.upf
CELL_PARAMETERS angstrom
-1.4781 -1.4553 3.0729
-4.6103 -2.0385 -3.1831
4.5145 -4.8084 2.1237
ATOMIC_POSITIONS crystal
Pm 0.6635 0.3965 0.7930
Sm 0.1750 0.8859 0.7719
Y 0.4252 0.1401 0.2802
Ho 0.9222 0.6421 0.2842


! Hf2AsI (GGA-PBE, relaxed); values from VASP
! Calculated total energy: -0.25053 hartree per atom
! V: 20.426 A^3/atom
! ΔE_f (raw): -0.29 eV/atom
! Space-group type: Fm-3m (225)
&SYSTEM
  ibrav = 0, nat = 4, ntyp = 3
/
ATOMIC_SPECIES
I 126.90 I.upf
As 74.92 As.upf
Hf 178.49 Hf.upf
CELL_PARAMETERS angstrom
0.0000 3.4441 3.4441
3.4441 0.0000 3.4441
3.4441 3.4441 0.0000
ATOMIC_POSITIONS crystal
I 0.5000 0.5000 0.5000
As 0.0000 0.0000 0.0000
Hf 0.2500 0.2500 0.2500
Hf 0.7500 0.7500 0.7500


! Th5InPb3 (GGA-PBE, relaxed); values from VASP
! Calculated total energy: -0.22060 hartree per atom
! V: 30.532 A^3/atom
! Space-group type: P6_3/mcm (193)
&SYSTEM
  ibrav = 0, nat = 18, ntyp = 3
/
ATOMIC_SPECIES
Th 232.04 Th.upf
In 114.82 In.upf
Pb 207.20 Pb.upf
CELL_PARAMETERS angstrom
6.6156 0.0000 0.0000
0.0000 8.4819 -4.8970
0.0000 0.0000 9.7941
ATOMIC_POSITIONS crystal
Th 0.0000 0.3333 0.6667
Th 0.5000 0.6667 0.3333
Th 0.0000 0.6667 0.3333
Th 0.5000 0.3333 0.6667
Th 0.7500 0.7207 0.0000
Th 0.7500 0.2793 0.2793
Th 0.7500 0.0000 0.7207
Th 0.2500 0.2793 0.0000
Th 0.2500 0.7207 0.7207
Th 0.2500 0.0000 0.2793
In 0.0000 0.0000 0.0000
In 0.5000 0.0000 0.0000
Pb 0.7500 0.3768 0.0000
Pb 0.7500 0.6232 0.6232
Pb 0.7500 0.0000 0.3768
Pb 0.2500 0.6232 0.0000
Pb 0.2500 0.3768 0.3768
Pb 0.2500 0.0000 0.6232